(1)
Entry from Alexandria via LeMat-Bulk: a geometry-optimized TbPm2PrDy6 structure (GGA-PBE).

Lattice parameters (Å, degrees): 9.7175 8.8115 8.8115 117.97 94.32 94.32
Fractional positions:
1 Tb 0.2500 0.4077 0.5923
2 Tb 0.7500 0.5923 0.4077
3 Pm 0.4566 0.8050 0.7024
4 Pm 0.0434 0.2976 0.1950
5 Pm 0.5434 0.1950 0.2976
6 Pm 0.9566 0.7024 0.8050
7 Pr 0.2500 0.9803 0.0197
8 Pr 0.7500 0.0197 0.9803
9 Dy 0.0572 0.1225 0.7418
10 Dy 0.4428 0.2582 0.8775
11 Dy 0.9428 0.8775 0.2582
12 Dy 0.5572 0.7418 0.1225
13 Dy 0.3151 0.9793 0.4292
14 Dy 0.1849 0.5708 0.0207
15 Dy 0.6849 0.0207 0.5708
16 Dy 0.8151 0.4292 0.9793
17 Dy 0.1195 0.7054 0.4920
18 Dy 0.3805 0.5080 0.2946
19 Dy 0.8805 0.2946 0.5080
20 Dy 0.6195 0.4920 0.7054

## Properties
Calculated total energy: -4.5346 eV/atom
M_tot: 0.000 μB per atom

=====

(2)
Entry from Alexandria via LeMat-Bulk: a geometry-optimized Tb2PmPr2Dy2 structure (GGA-PBE).

Lattice parameters (Å, degrees): 3.5499 6.1789 11.9597 71.63 90.00 106.69
Fractional positions:
1 Tb 0.4496 0.8992 0.7698
2 Tb 0.5504 0.1008 0.2302
3 Pm 0.0000 0.0000 0.5000
4 Pr 0.6703 0.3406 0.9161
5 Pr 0.3297 0.6594 0.0839
6 Dy 0.7747 0.5494 0.3636
7 Dy 0.2253 0.4506 0.6364

## Properties
Calculated total energy: -4.5973 eV/atom
M_tot: 0.000 μB per atom

=====

(3)
Entry from Alexandria via LeMat-Bulk: a geometry-optimized Tb5PmPrDy2 structure (GGA-PBE).

Lattice parameters (Å, degrees): 8.7367 8.7367 9.9196 116.13 116.13 90.00
Fractional positions:
1 Tb 0.9326 0.4326 0.2689
2 Tb 0.6637 0.1637 0.7311
3 Tb 0.0674 0.5674 0.7311
4 Tb 0.1637 0.0674 0.7311
5 Tb 0.5674 0.6637 0.7311
6 Tb 0.8363 0.9326 0.2689
7 Tb 0.4326 0.3363 0.2689
8 Tb 0.3363 0.8363 0.2689
9 Tb 0.5000 0.5000 0.0000
10 Tb 0.0000 0.0000 0.0000
11 Pm 0.2500 0.2500 0.5000
12 Pm 0.7500 0.7500 0.5000
13 Pr 0.2500 0.7500 0.5000
14 Pr 0.7500 0.2500 0.5000
15 Dy 0.1180 0.3820 0.0000
16 Dy 0.6180 0.1180 0.0000
17 Dy 0.3820 0.8820 0.0000
18 Dy 0.8820 0.6180 0.0000

## Properties
Calculated total energy: -4.3763 eV/atom
M_tot: 0.000 μB per atom